# ErZn11Cr, relaxed, DFT PBE
# * DFT formation energy: -103.2 meV per atom
# * calculated total energy: -2.2724 eV per atom
data_ErZn11Cr
_chemical_formula_sum 'Er2 Zn22 Cr2'
_cell_length_a 5.274
_cell_length_b 12.537
_cell_length_c 6.742
_cell_angle_alpha 90.00
_cell_angle_beta 112.38
_cell_angle_gamma 90.00
_symmetry_space_group_name_H-M 'C 1 2/m 1'
_symmetry_Int_Tables_number 12
loop_
_symmetry_equiv_pos_as_xyz
'x,y,z'
'-x,-y,-z'
'-x,y,-z'
'x,-y,z'
'x+1/2,y+1/2,z'
'-x+1/2,-y+1/2,-z'
'-x+1/2,y+1/2,-z'
'x+1/2,-y+1/2,z'
loop_
_atom_site_label
_atom_site_type_symbol
_atom_site_fract_x
_atom_site_fract_y
_atom_site_fract_z
Er1 Er 0.000 0.000 0.000
Zn1 Zn 0.000 0.500 0.500
Zn2 Zn 0.110 0.391 0.216
Zn3 Zn 0.164 0.174 0.352
Zn4 Zn 0.250 0.250 0.000
Cr1 Cr 0.000 0.000 0.500

=====

# Li2Pu2Co15, relaxed, DFT PBE
# * DFT formation energy: -38.7 meV per atom
# * calculated total energy: -7.3587 eV per atom
data_Li2Pu2Co15
_chemical_formula_sum 'Li6 Pu6 Co45'
_cell_length_a 8.3426
_cell_length_b 8.3426
_cell_length_c 11.9941
_cell_angle_alpha 90.00
_cell_angle_beta 90.00
_cell_angle_gamma 120.00
_symmetry_space_group_name_H-M 'R -3 m'
_symmetry_Int_Tables_number 166
_symmetry_space_group_name_Hall '-R 3 2"'
loop_
_atom_site_label
_atom_site_type_symbol
_atom_site_fract_x
_atom_site_fract_y
_atom_site_fract_z
Li1 Li 0.0000 0.0000 0.0958
Pu1 Pu 0.0000 0.0000 0.3457
Co1 Co 0.0000 0.2950 0.0000
Co2 Co 0.0000 0.5000 0.5000
Co3 Co 0.0029 0.5015 0.1520

=====

# Ba3ScIn, relaxed, DFT PBE
# * DFT formation energy: 445.8 meV per atom
# * energy relative to the lowest polymorph listed for this composition: 0 meV/atom
# * calculated total energy: -2.5218 eV per atom
data_Ba3ScIn
_chemical_formula_sum 'Ba3 Sc1 In1'
_cell_length_a 6.643
_cell_length_b 6.643
_cell_length_c 6.643
_cell_angle_alpha 90.00
_cell_angle_beta 90.00
_cell_angle_gamma 90.00
_symmetry_space_group_name_H-M 'P m -3 m'
_symmetry_Int_Tables_number 221
_symmetry_space_group_name_Hall '-P 4 2 3'
loop_
_atom_site_label
_atom_site_type_symbol
_atom_site_fract_x
_atom_site_fract_y
_atom_site_fract_z
Ba1 Ba 0.000 0.000 0.500
Sc1 Sc 0.500 0.500 0.500
In1 In 0.000 0.000 0.000

=====

# HgAsAu3, relaxed, DFT PBE
# * DFT formation energy: 1001.6 meV per atom
# * energy relative to the lowest polymorph listed for this composition: 740 meV/atom
# * calculated total energy: -1.9551 eV per atom
data_HgAsAu3
_chemical_formula_sum 'Hg1 As1 Au3'
_cell_length_a 5.157
_cell_length_b 5.157
_cell_length_c 5.157
_cell_angle_alpha 90.00
_cell_angle_beta 90.00
_cell_angle_gamma 90.00
_symmetry_space_group_name_H-M 'P m -3 m'
_symmetry_Int_Tables_number 221
_symmetry_space_group_name_Hall '-P 4 2 3'
loop_
_atom_site_label
_atom_site_type_symbol
_atom_site_fract_x
_atom_site_fract_y
_atom_site_fract_z
Hg1 Hg 0.000 0.000 0.000
As1 As 0.500 0.500 0.500
Au1 Au 0.000 0.000 0.500

=====

# Ac3Pt2Se, relaxed, DFT PBE
# * calculated total energy: -6.0374 eV per atom
# * ΔE_f (raw): -1.389 eV per atom
data_Ac3Pt2Se
_chemical_formula_sum 'Ac6 Pt4 Se2'
_cell_length_a 4.503
_cell_length_b 4.503
_cell_length_c 18.505
_cell_angle_alpha 90.00
_cell_angle_beta 90.00
_cell_angle_gamma 90.00
_symmetry_space_group_name_H-M 'I 4/m m m'
_symmetry_Int_Tables_number 139
_symmetry_space_group_name_Hall '-I 4 2'
loop_
_atom_site_label
_atom_site_type_symbol
_atom_site_fract_x
_atom_site_fract_y
_atom_site_fract_z
Ac1 Ac 0.000 0.000 0.000
Ac2 Ac 0.000 0.000 0.326
Pt1 Pt 0.000 0.000 0.162
Se1 Se 0.000 0.000 0.500

=====

# Ba3HW, relaxed, DFT PBE
# * energy relative to the lowest polymorph listed for this composition: 0 meV/atom
# * calculated total energy: -3.6536 eV per atom
data_Ba3HW
_chemical_formula_sum 'Ba3 H1 W1'
_cell_length_a 5.458
_cell_length_b 5.458
_cell_length_c 5.458
_cell_angle_alpha 90.00
_cell_angle_beta 90.00
_cell_angle_gamma 90.00
_symmetry_space_group_name_H-M 'P m -3 m'
_symmetry_Int_Tables_number 221
_symmetry_space_group_name_Hall '-P 4 2 3'
loop_
_atom_site_label
_atom_site_type_symbol
_atom_site_fract_x
_atom_site_fract_y
_atom_site_fract_z
Ba1 Ba 0.000 0.000 0.500
H1 H 0.000 0.000 0.000
W1 W 0.500 0.500 0.500

=====

# MnZnHPd2, relaxed, DFT PBE
# * energy relative to the lowest polymorph listed for this composition: 0 meV/atom
# * calculated total energy: -5.0802 eV per atom
data_MnZnHPd2
_chemical_formula_sum 'Mn1 Zn1 H1 Pd2'
_cell_length_a 3.994
_cell_length_b 3.994
_cell_length_c 3.857
_cell_angle_alpha 90.00
_cell_angle_beta 90.00
_cell_angle_gamma 90.00
_symmetry_space_group_name_H-M 'P 4/m m m'
_symmetry_Int_Tables_number 123
_symmetry_space_group_name_Hall '-P 4 2'
loop_
_atom_site_label
_atom_site_type_symbol
_atom_site_fract_x
_atom_site_fract_y
_atom_site_fract_z
Mn1 Mn 0.000 0.000 0.000
Zn1 Zn 0.500 0.500 0.000
H1 H 0.000 0.000 0.500
Pd1 Pd 0.000 0.500 0.500

=====

# Sr2SmSnO6, relaxed, DFT PBE
# * calculated total energy: -6.6414 eV per atom
# * ΔE_f (raw): -2.458 eV per atom
data_Sr2SmSnO6
_chemical_formula_sum 'Sr4 Sm2 Sn2 O12'
_cell_length_a 5.961
_cell_length_b 6.094
_cell_length_c 10.343
_cell_angle_alpha 90.00
_cell_angle_beta 124.97
_cell_angle_gamma 90.00
_symmetry_space_group_name_H-M 'P 1 21/c 1'
_symmetry_Int_Tables_number 14
loop_
_symmetry_equiv_pos_as_xyz
'x,y,z'
'-x,-y,-z'
'-x,y+1/2,-z+1/2'
'x,-y+1/2,z+1/2'
loop_
_atom_site_label
_atom_site_type_symbol
_atom_site_fract_x
_atom_site_fract_y
_atom_site_fract_z
Sr1 Sr 0.236 0.045 0.251
Sm1 Sm 0.500 0.000 0.000
Sn1 Sn 0.000 0.000 0.500
O1 O 0.138 0.223 0.944
O2 O 0.230 0.698 0.951
O3 O 0.335 0.039 0.736